Density functional theory data (PBE with a Hubbard U) for a relaxed NaPuNi2O6 crystal.

## Properties
- Total energy: -6.184 eV/atom
- M_tot: 6.63 μB per cell
- Theoretical density: 5.245 g cm⁻³

Lattice parameters (Å, degrees): 5.9457 5.9457 4.3020 90.00 90.00 90.00
With the nearest neighbours (Å) after each atom.
Space group P4mm (No. 99)
Asymmetric unit:
1 Na 0.0000 0.0000 0.0000  6 O 2.12-2.27
2 Pu 0.5000 0.5000 0.1199  6 O 2.01-2.15
3 Ni 0.0000 0.5000 0.1777  4 O 2.11
4 O 0.0000 0.0000 0.5083  2 Na 2.12-2.19
5 O 0.2608 0.2608 0.1322  1 Pu 2.01, 2 Ni 2.11
6 O 0.5000 0.5000 0.6206  2 Pu 2.15